Entry from Alexandria: a relaxed structure of TbCu3Pd4O12 (PBE).

```
data_TbCu3Pd4O12
_chemical_formula_sum 'Tb2 Cu6 Pd8 O24'
_space_group_name_H-M_alt 'I m -3'
_space_group_IT_number 204
_space_group_name_Hall '-I 2 2 3'
_cell_length_a 7.5995
_cell_length_b 7.5995
_cell_length_c 7.5995
_cell_angle_alpha 90.00
_cell_angle_beta 90.00
_cell_angle_gamma 90.00
loop_
_atom_site_label
_atom_site_fract_x
_atom_site_fract_y
_atom_site_fract_z
Tb1 0.0000 0.0000 0.0000
Cu1 0.0000 0.0000 0.5000
Pd1 0.2500 0.2500 0.2500
O1 0.0000 0.1604 0.3040
```

- Energy relative to the elements, uncorrected: -799 meV per atom
- Electronic total energy: -5.658 eV/atom

Entry from Alexandria: a relaxed structure of ZnCuTePdO (PBE).

```
data_ZnCuTePdO
_chemical_formula_sum 'Zn1 Cu1 Te1 Pd1 O1'
_space_group_name_H-M_alt 'P 1 m 1'
_space_group_IT_number 6
_cell_length_a 4.4133
_cell_length_b 3.1957
_cell_length_c 5.9683
_cell_angle_alpha 90.00
_cell_angle_beta 94.48
_cell_angle_gamma 90.00
loop_
_space_group_symop_operation_xyz
'x,y,z'
'x,-y,z'
loop_
_atom_site_label
_atom_site_fract_x
_atom_site_fract_y
_atom_site_fract_z
Zn1 0.0000 0.0000 0.0000
Cu1 0.6125 0.5000 0.2338
Te1 0.9446 0.0000 0.5019
Pd1 0.6050 0.5000 0.7508
O1 0.2658 0.5000 0.0216
```

- Energy relative to the elements, uncorrected: -381 meV per atom
- Electronic total energy: -4.114 eV/atom

Entry from Alexandria: a relaxed structure of ZnCuTePdO (PBE).

```
data_ZnCuTePdO
_chemical_formula_sum 'Zn1 Cu1 Te1 Pd1 O1'
_space_group_name_H-M_alt 'P 1 m 1'
_space_group_IT_number 6
_cell_length_a 3.5267
_cell_length_b 4.0516
_cell_length_c 6.2501
_cell_angle_alpha 90.00
_cell_angle_beta 105.90
_cell_angle_gamma 90.00
loop_
_space_group_symop_operation_xyz
'x,y,z'
'x,-y,z'
loop_
_atom_site_label
_atom_site_fract_x
_atom_site_fract_y
_atom_site_fract_z
Zn1 0.0000 0.0000 0.0000
Cu1 0.6326 0.5000 0.2651
Te1 0.3070 0.5000 0.6379
Pd1 0.7789 0.0000 0.5787
O1 0.5725 0.0000 0.1501
```

- Energy relative to the elements, uncorrected: -370 meV per atom
- Electronic total energy: -4.103 eV/atom

Entry from Alexandria: a relaxed structure of ZnCuTePdO (PBE).

```
data_ZnCuTePdO
_chemical_formula_sum 'Zn2 Cu2 Te2 Pd2 O2'
_space_group_name_H-M_alt 'C 1 m 1'
_space_group_IT_number 8
_cell_length_a 13.5476
_cell_length_b 3.2684
_cell_length_c 4.6127
_cell_angle_alpha 90.00
_cell_angle_beta 90.98
_cell_angle_gamma 90.00
loop_
_space_group_symop_operation_xyz
'x,y,z'
'x,-y,z'
'x+1/2,y+1/2,z'
'x+1/2,-y+1/2,z'
loop_
_atom_site_label
_atom_site_fract_x
_atom_site_fract_y
_atom_site_fract_z
Zn1 0.0000 0.0000 0.0000
Cu1 0.1943 0.5000 0.8642
Te1 0.3465 0.5000 0.5741
Pd1 0.3373 0.0000 0.0979
O1 0.0714 0.5000 0.0318
```

- Energy relative to the elements, uncorrected: -420 meV per atom
- Electronic total energy: -4.152 eV/atom

Entry from Alexandria: a relaxed structure of ZnCuTePdO (PBE).

```
data_ZnCuTePdO
_chemical_formula_sum 'Zn1 Cu1 Te1 Pd1 O1'
_space_group_name_H-M_alt 'P 1 m 1'
_space_group_IT_number 6
_cell_length_a 3.0554
_cell_length_b 3.2842
_cell_length_c 8.2110
_cell_angle_alpha 90.00
_cell_angle_beta 100.51
_cell_angle_gamma 90.00
loop_
_space_group_symop_operation_xyz
'x,y,z'
'x,-y,z'
loop_
_atom_site_label
_atom_site_fract_x
_atom_site_fract_y
_atom_site_fract_z
Zn1 0.0000 0.0000 0.0000
Cu1 0.6482 0.5000 0.2993
Te1 0.7803 0.0000 0.5584
Pd1 0.4016 0.5000 0.8018
O1 0.5798 0.0000 0.1624
```

- Energy relative to the elements, uncorrected: -389 meV per atom
- Electronic total energy: -4.122 eV/atom

Entry from Alexandria: a relaxed structure of ZnCuTePdO (PBE).

```
data_ZnCuTePdO
_chemical_formula_sum 'Zn2 Cu2 Te2 Pd2 O2'
_space_group_name_H-M_alt 'C 1 m 1'
_space_group_IT_number 8
_cell_length_a 13.7640
_cell_length_b 3.7052
_cell_length_c 3.6726
_cell_angle_alpha 90.00
_cell_angle_beta 95.82
_cell_angle_gamma 90.00
loop_
_space_group_symop_operation_xyz
'x,y,z'
'x,-y,z'
'x+1/2,y+1/2,z'
'x+1/2,-y+1/2,z'
loop_
_atom_site_label
_atom_site_fract_x
_atom_site_fract_y
_atom_site_fract_z
Zn1 0.0000 0.0000 0.0000
Cu1 0.1139 0.5000 0.5278
Te1 0.3048 0.5000 0.9381
Pd1 0.2552 0.0000 0.4089
O1 0.0568 0.0000 0.5227
```

- Energy relative to the elements, uncorrected: -330 meV per atom
- Electronic total energy: -4.063 eV/atom